LiLa2MoO6 at its PBEsol-relaxed geometry, computed with SCAN.

Computed properties:
The theoretical density comes out at 6.48 g/cm³. For the total energy, the calculation gives -382.68 eV per cell. As for the space group: P2_1/c. Its density of states at the Fermi level is 0.48 states/eV/f.u. Its total magnetic moment is 1.0 μB/f.u. The uncorrected formation energy is -3.05 eV per atom.

Structure (CIF):
```
data_LiLa2MoO6
_space_group_name_H-M_alt 'P 1'
_space_group_IT_number 1
_space_group_name_Hall 'P 1'
_cell_length_a 5.533
_cell_length_b 5.660
_cell_length_c 7.803
_cell_angle_alpha 90.00
_cell_angle_beta 90.20
_cell_angle_gamma 90.00
loop_
_atom_site_label
_atom_site_type_symbol
_atom_site_fract_x
_atom_site_fract_y
_atom_site_fract_z
O1 O 0.211 0.308 0.042
O2 O 0.309 0.784 0.049
O3 O 0.087 0.019 0.743
O4 O 0.191 0.284 0.451
O5 O 0.587 0.481 0.243
O6 O 0.289 0.808 0.458
O7 O 0.691 0.216 0.951
O8 O 0.413 0.519 0.757
O9 O 0.711 0.192 0.542
O10 O 0.789 0.692 0.958
O11 O 0.809 0.716 0.549
O12 O 0.913 0.981 0.257
Li1 Li 0.000 0.000 0.000
Li2 Li 0.500 0.500 0.500
Mo1 Mo 0.500 0.500 0.000
Mo2 Mo 0.000 0.000 0.500
La1 La 0.010 0.556 0.249
La2 La 0.490 0.056 0.251
La3 La 0.990 0.444 0.751
La4 La 0.510 0.944 0.749
```

---

LiLa2MoPt at its PBEsol-relaxed geometry, computed with SCAN.

Computed properties:
The theoretical density comes out at 6.16 g/cm³. For the total energy, the calculation gives -192.95 eV per cell. As for the space group: P4/mmm. The energy relative to the elements comes out at 145 meV/atom. Its density of states at the Fermi level is 4.80 states/eV/f.u. Its total magnetic moment is 1.6 μB/f.u.

Structure (CIF):
```
data_LiLa2MoPt
_space_group_name_H-M_alt 'P 1'
_space_group_IT_number 1
_space_group_name_Hall 'P 1'
_cell_length_a 4.802
_cell_length_b 5.688
_cell_length_c 5.688
_cell_angle_alpha 90.00
_cell_angle_beta 90.00
_cell_angle_gamma 90.00
loop_
_atom_site_label
_atom_site_type_symbol
_atom_site_fract_x
_atom_site_fract_y
_atom_site_fract_z
Mo1 Mo 0.500 0.000 0.000
La1 La 0.000 0.000 0.500
La2 La 0.000 0.500 0.000
Li1 Li 0.500 0.500 0.500
Pt1 Pt 0.000 0.000 0.000
```

---

LiLaN3 at its PBEsol-relaxed geometry, computed with SCAN.

Computed properties:
The theoretical density comes out at 3.68 g/cm³. For the total energy, the calculation gives -67.87 eV per cell. As for the space group: Pm-3m. Its density of states at the Fermi level is 3.68 states/eV/f.u. Its total magnetic moment is 2.6 μB/f.u. The uncorrected formation energy is 1.10 eV per atom.

Structure (CIF):
```
data_LiLaN3
_space_group_name_H-M_alt 'P 1'
_space_group_IT_number 1
_space_group_name_Hall 'P 1'
_cell_length_a 4.392
_cell_length_b 4.392
_cell_length_c 4.392
_cell_angle_alpha 90.00
_cell_angle_beta 90.00
_cell_angle_gamma 90.00
loop_
_atom_site_label
_atom_site_type_symbol
_atom_site_fract_x
_atom_site_fract_y
_atom_site_fract_z
La1 La 0.000 0.000 0.000
N1 N 0.500 0.000 0.000
N2 N 0.000 0.500 0.000
N3 N 0.000 0.000 0.500
Li1 Li 0.500 0.500 0.500
```

---

LiLaNO2 at its PBEsol-relaxed geometry, computed with SCAN.

Computed properties:
The theoretical density comes out at 3.24 g/cm³. For the total energy, the calculation gives -71.33 eV per cell. As for the space group: P4/mmm. Its density of states at the Fermi level is 1.93 states/eV/f.u. Its total magnetic moment is 3.0 μB/f.u. The uncorrected formation energy is -0.82 eV per atom.

Structure (CIF):
```
data_LiLaNO2
_space_group_name_H-M_alt 'P 1'
_space_group_IT_number 1
_space_group_name_Hall 'P 1'
_cell_length_a 4.477
_cell_length_b 4.477
_cell_length_c 4.905
_cell_angle_alpha 90.00
_cell_angle_beta 90.00
_cell_angle_gamma 90.00
loop_
_atom_site_label
_atom_site_type_symbol
_atom_site_fract_x
_atom_site_fract_y
_atom_site_fract_z
N1 N 0.000 0.000 0.500
O1 O 0.000 0.500 0.000
O2 O 0.500 0.000 0.000
La1 La 0.000 0.000 0.000
Li1 Li 0.500 0.500 0.500
```

---

LiLaTeN2 at its PBEsol-relaxed geometry, computed with SCAN.

Computed properties:
The theoretical density comes out at 6.13 g/cm³. For the total energy, the calculation gives -98.90 eV per cell. As for the space group: P4/mmm. Its density of states at the Fermi level is 2.47 states/eV/f.u. Its total magnetic moment is 2.8 μB/f.u. The uncorrected formation energy is 0.49 eV per atom.

Structure (CIF):
```
data_LiLaTeN2
_space_group_name_H-M_alt 'P 1'
_space_group_IT_number 1
_space_group_name_Hall 'P 1'
_cell_length_a 4.299
_cell_length_b 4.299
_cell_length_c 4.417
_cell_angle_alpha 90.00
_cell_angle_beta 90.00
_cell_angle_gamma 90.00
loop_
_atom_site_label
_atom_site_type_symbol
_atom_site_fract_x
_atom_site_fract_y
_atom_site_fract_z
Te1 Te 0.000 0.000 0.500
N1 N 0.500 0.000 0.000
N2 N 0.000 0.500 0.000
Li1 Li 0.000 0.000 0.000
La1 La 0.500 0.500 0.500
```

---

LiLa2WN at its PBEsol-relaxed geometry, computed with SCAN.

Computed properties:
The theoretical density comes out at 8.39 g/cm³. For the total energy, the calculation gives -164.40 eV per cell. As for the space group: P4/mmm. Its density of states at the Fermi level is 3.37 states/eV/f.u. Its total magnetic moment is 1.4 μB/f.u. The uncorrected formation energy is 0.64 eV per atom.

Structure (CIF):
```
data_LiLa2WN
_space_group_name_H-M_alt 'P 1'
_space_group_IT_number 1
_space_group_name_Hall 'P 1'
_cell_length_a 3.307
_cell_length_b 5.373
_cell_length_c 5.373
_cell_angle_alpha 90.00
_cell_angle_beta 90.00
_cell_angle_gamma 90.00
loop_
_atom_site_label
_atom_site_type_symbol
_atom_site_fract_x
_atom_site_fract_y
_atom_site_fract_z
La1 La 0.000 0.000 0.500
La2 La 0.000 0.500 0.000
N1 N 0.500 0.000 0.000
W1 W 0.500 0.500 0.500
Li1 Li 0.000 0.000 0.000
```

---

LiLa3Nb at its PBEsol-relaxed geometry, computed with SCAN.

Computed properties:
The theoretical density comes out at 6.09 g/cm³. For the total energy, the calculation gives -160.49 eV per cell. As for the space group: Pm-3m. The energy relative to the elements comes out at 869 meV/atom. Its density of states at the Fermi level is 6.25 states/eV/f.u. Its total magnetic moment is 2.9 μB/f.u.

Structure (CIF):
```
data_LiLa3Nb
_space_group_name_H-M_alt 'P 1'
_space_group_IT_number 1
_space_group_name_Hall 'P 1'
_cell_length_a 5.203
_cell_length_b 5.203
_cell_length_c 5.203
_cell_angle_alpha 90.00
_cell_angle_beta 90.00
_cell_angle_gamma 90.00
loop_
_atom_site_label
_atom_site_type_symbol
_atom_site_fract_x
_atom_site_fract_y
_atom_site_fract_z
La1 La 0.000 0.500 0.000
La2 La 0.000 0.000 0.500
La3 La 0.500 0.000 0.000
Li1 Li 0.000 0.000 0.000
Nb1 Nb 0.500 0.500 0.500
```

---

Li2LaNb6O18 at its PBEsol-relaxed geometry, computed with SCAN.

Computed properties:
The theoretical density comes out at 4.47 g/cm³. For the total energy, the calculation gives -431.62 eV per cell. As for the space group: Pmmm. Its density of states at the Fermi level is 11.67 states/eV/f.u. Its total magnetic moment is 0.0 μB/f.u. The uncorrected formation energy is -2.70 eV per atom.

Structure (CIF):
```
data_Li2LaNb6O18
_space_group_name_H-M_alt 'P 1'
_space_group_IT_number 1
_space_group_name_Hall 'P 1'
_cell_length_a 3.932
_cell_length_b 7.949
_cell_length_c 11.853
_cell_angle_alpha 90.00
_cell_angle_beta 90.00
_cell_angle_gamma 90.00
loop_
_atom_site_label
_atom_site_type_symbol
_atom_site_fract_x
_atom_site_fract_y
_atom_site_fract_z
O1 O 0.500 0.229 0.657
O2 O 0.500 0.771 0.657
O3 O 0.500 0.781 0.000
O4 O 0.000 0.500 0.333
O5 O 0.500 0.219 0.000
O6 O 0.000 0.000 0.000
O7 O 0.500 0.229 0.343
O8 O 0.000 0.767 0.500
O9 O 0.000 0.500 0.667
O10 O 0.500 0.771 0.343
O11 O 0.000 0.231 0.167
O12 O 0.000 0.231 0.833
O13 O 0.000 0.000 0.649
O14 O 0.000 0.000 0.351
O15 O 0.000 0.233 0.500
O16 O 0.000 0.500 0.000
O17 O 0.000 0.769 0.167
O18 O 0.000 0.769 0.833
Nb1 Nb 0.000 0.257 0.671
Nb2 Nb 0.000 0.257 0.329
Nb3 Nb 0.000 0.256 0.000
Nb4 Nb 0.000 0.744 0.000
Nb5 Nb 0.000 0.743 0.329
Nb6 Nb 0.000 0.743 0.671
La1 La 0.500 0.000 0.500
Li1 Li 0.500 0.000 0.108
Li2 Li 0.500 0.000 0.892
```